DFT (PBE) results for an optimized crystal structure of TaSi5.

abc: 2.8452 2.8452 11.0129
angles: 90.00 90.00 90.00
Sites, in units of the cell vectors:
Si1 0.5000 0.5000 0.3453
Si2 0.0000 0.0000 0.5000
Si3 0.0000 0.0000 0.1751
Si4 0.5000 0.5000 0.6547
Si5 0.0000 0.0000 0.8249
Ta1 0.5000 0.5000 0.0000

Results
Relative energy among the computed polymorphs (eV per atom): 0.224
Total moment (μB per formula unit): 0.0
Crystal system: tetragonal
Space group: P4/mmm
Total DFT energy (no corrections) (eV per atom): -6.163
Energy relative to the elements, uncorrected (eV/atom): 0.332
DOS at the Fermi energy (states/eV/f.u.): 3.65